# 1
# BeSiNiW

Crystalline BeSiNiW at its relaxed geometry (PBE, the Open Quantum Materials Database).

Cell and atoms, written as POSCAR:
```
BeSiNiW
1.0
5.755 0.000 0.000
0.000 5.755 0.000
0.000 0.000 5.755
Be Si Ni W
4 4 4 4
Direct
0.000 0.000 0.000
0.000 0.500 0.500
0.500 0.000 0.500
0.500 0.500 0.000
0.250 0.250 0.250
0.250 0.750 0.750
0.750 0.250 0.750
0.750 0.750 0.250
0.000 0.000 0.500
0.000 0.500 0.000
0.500 0.000 0.000
0.500 0.500 0.500
0.250 0.250 0.750
0.250 0.750 0.250
0.750 0.250 0.250
0.750 0.750 0.750
```

The crystal system is cubic. The calculation puts the total energy at -6.619 eV per atom. As for the space group: F-43m.

# 2
# KZrAgSe3

Crystalline KZrAgSe3 at its relaxed geometry (PBE, the Open Quantum Materials Database).

Cell and atoms, written as POSCAR:
```
KZrAgSe3
1.0
12.192 0.000 0.000
0.000 4.053 0.000
0.000 0.000 12.707
K Zr Ag Se
4 4 4 12
Direct
0.157 0.250 0.019
0.343 0.750 0.519
0.657 0.250 0.481
0.843 0.750 0.981
0.048 0.250 0.339
0.452 0.750 0.839
0.548 0.250 0.161
0.952 0.750 0.661
0.243 0.250 0.713
0.257 0.750 0.213
0.743 0.250 0.787
0.757 0.750 0.287
0.034 0.750 0.189
0.081 0.250 0.571
0.244 0.750 0.850
0.256 0.250 0.350
0.419 0.750 0.071
0.466 0.250 0.689
0.534 0.750 0.311
0.581 0.250 0.929
0.744 0.750 0.650
0.756 0.250 0.150
0.919 0.750 0.429
0.966 0.250 0.811
```

The crystal system is orthorhombic. The calculation puts the total energy at -4.782 eV per atom. As for the space group: Pnma.

# 3
# Cu3Ag

Crystalline Cu3Ag at its relaxed geometry (PBE, the Open Quantum Materials Database).

Cell and atoms, written as POSCAR:
```
Cu3Ag
1.0
2.719 0.000 0.000
0.000 3.498 0.000
0.000 0.000 11.240
Cu Ag
6 2
Direct
0.250 0.250 0.056
0.250 0.250 0.280
0.250 0.250 0.830
0.750 0.750 0.170
0.750 0.750 0.720
0.750 0.750 0.944
0.250 0.250 0.582
0.750 0.750 0.418
```

The crystal system is orthorhombic. The calculation puts the total energy at -3.439 eV per atom. As for the space group: Pmmn. The value obtained for the energy of formation is 0.06 eV per atom.

# 4
# LaPr2Se3

Crystalline LaPr2Se3 at its relaxed geometry (PBE, the Open Quantum Materials Database).

Cell and atoms, written as POSCAR:
```
LaPr2Se3
1.0
4.286 0.000 0.000
0.000 6.045 0.000
0.000 0.000 12.807
La Pr Se
2 4 6
Direct
0.000 0.000 0.000
0.500 0.500 0.500
0.000 0.000 0.332
0.000 0.000 0.668
0.500 0.500 0.168
0.500 0.500 0.832
0.000 0.500 0.000
0.000 0.500 0.333
0.000 0.500 0.667
0.500 0.000 0.167
0.500 0.000 0.500
0.500 0.000 0.833
```

The crystal system is orthorhombic. The calculation puts the total energy at -6.057 eV per atom. As for the space group: Immm.

# 5
# TmNb2Ga2

Crystalline TmNb2Ga2 at its relaxed geometry (PBE, the Open Quantum Materials Database).

Cell and atoms, written as POSCAR:
```
TmNb2Ga2
1.0
7.307 0.000 0.000
0.000 7.307 0.000
0.000 0.000 3.489
Tm Nb Ga
2 4 4
Direct
0.000 0.000 0.000
0.500 0.500 0.000
0.173 0.327 0.500
0.327 0.827 0.500
0.673 0.173 0.500
0.827 0.673 0.500
0.123 0.623 0.000
0.377 0.123 0.000
0.623 0.877 0.000
0.877 0.377 0.000
```

The crystal system is tetragonal. The calculation puts the total energy at -6.427 eV per atom. As for the space group: P4/mbm.

# 6
# NiBi

Crystalline NiBi at its relaxed geometry (PBE, the Open Quantum Materials Database).

Cell and atoms, written as POSCAR:
```
NiBi
1.0
3.739 0.000 0.000
0.000 10.103 0.000
0.000 0.000 4.048
Ni Bi
4 4
Direct
0.000 0.075 0.250
0.000 0.925 0.750
0.500 0.425 0.750
0.500 0.575 0.250
0.000 0.360 0.250
0.000 0.640 0.750
0.500 0.140 0.750
0.500 0.860 0.250
```

The crystal system is orthorhombic. The calculation puts the total energy at -4.775 eV per atom. As for the space group: Cmcm.

# 7
# SrFeHg2

Crystalline SrFeHg2 at its relaxed geometry (PBE, the Open Quantum Materials Database).

Cell and atoms, written as POSCAR:
```
SrFeHg2
1.0
7.183 0.000 0.000
0.000 7.183 0.000
0.000 0.000 7.183
Sr Fe Hg
4 4 8
Direct
0.000 0.000 0.000
0.000 0.500 0.500
0.500 0.000 0.500
0.500 0.500 0.000
0.250 0.250 0.250
0.250 0.750 0.750
0.750 0.250 0.750
0.750 0.750 0.250
0.000 0.000 0.500
0.000 0.500 0.000
0.250 0.250 0.750
0.250 0.750 0.250
0.500 0.000 0.000
0.500 0.500 0.500
0.750 0.250 0.250
0.750 0.750 0.750
```

The crystal system is cubic. The calculation puts the total energy at -2.365 eV per atom. As for the space group: F-43m.

# 8
# BaBW

Crystalline BaBW at its relaxed geometry (PBE, the Open Quantum Materials Database).

Cell and atoms, written as POSCAR:
```
BaBW
1.0
6.332 0.000 0.000
0.000 6.332 0.000
0.000 0.000 6.332
Ba B W
4 4 4
Direct
0.000 0.000 0.000
0.000 0.500 0.500
0.500 0.000 0.500
0.500 0.500 0.000
0.000 0.000 0.500
0.000 0.500 0.000
0.500 0.000 0.000
0.500 0.500 0.500
0.250 0.250 0.750
0.250 0.750 0.250
0.750 0.250 0.250
0.750 0.750 0.750
```

The crystal system is cubic. The calculation puts the total energy at -4.975 eV per atom. The calculation puts the energy above the most stable polymorph in this dataset at 1.08 eV/f.u. As for the space group: F-43m.

# 9
# BaErTe3Au

Crystalline BaErTe3Au at its relaxed geometry (PBE, the Open Quantum Materials Database).

Cell and atoms, written as POSCAR:
```
BaErTe3Au
1.0
9.958 -2.228 0.000
9.958 2.228 0.000
-1.621 0.000 8.928
Ba Er Te Au
2 2 6 2
Direct
0.129 0.129 0.079
0.871 0.871 0.921
0.161 0.161 0.589
0.839 0.839 0.411
0.000 0.000 0.500
0.315 0.315 0.173
0.322 0.322 0.631
0.500 0.500 0.000
0.678 0.678 0.369
0.685 0.685 0.827
0.452 0.452 0.291
0.548 0.548 0.709
```

The crystal system is monoclinic. The calculation puts the total energy at -4.348 eV per atom. As for the space group: C2/m.

# 10
# Ba2YTcN6

Crystalline Ba2YTcN6 at its relaxed geometry (PBE, the Open Quantum Materials Database).

Cell and atoms, written as POSCAR:
```
Ba2YTcN6
1.0
5.249 -3.029 0.000
5.249 3.029 0.000
-3.517 0.000 4.960
Ba Y Tc N
2 1 1 6
Direct
0.250 0.250 0.249
0.750 0.750 0.751
0.000 0.000 0.500
0.500 0.500 0.000
0.257 0.717 0.217
0.270 0.270 0.744
0.283 0.743 0.783
0.717 0.257 0.217
0.730 0.730 0.256
0.743 0.283 0.783
```

The crystal system is monoclinic. The calculation puts the total energy at -7.094 eV per atom. The calculation puts the energy above the most stable polymorph in this dataset at 1.01 eV/f.u. As for the space group: C2/m.

# 11
# BeFeIr2

Crystalline BeFeIr2 at its relaxed geometry (PBE, the Open Quantum Materials Database).

Cell and atoms, written as POSCAR:
```
BeFeIr2
1.0
5.861 0.000 0.000
0.000 5.861 0.000
0.000 0.000 5.861
Be Fe Ir
4 4 8
Direct
0.000 0.000 0.000
0.000 0.500 0.500
0.500 0.000 0.500
0.500 0.500 0.000
0.250 0.250 0.250
0.250 0.750 0.750
0.750 0.250 0.750
0.750 0.750 0.250
0.000 0.000 0.500
0.000 0.500 0.000
0.250 0.250 0.750
0.250 0.750 0.250
0.500 0.000 0.000
0.500 0.500 0.500
0.750 0.250 0.250
0.750 0.750 0.750
```

The crystal system is cubic. The calculation puts the total energy at -7.311 eV per atom. As for the space group: F-43m.

# 12
# Pr2BiSbSe2

Crystalline Pr2BiSbSe2 at its relaxed geometry (PBE, the Open Quantum Materials Database).

Cell and atoms, written as POSCAR:
```
Pr2BiSbSe2
1.0
4.297 0.000 0.000
0.000 4.297 0.000
0.000 0.000 9.246
Pr Bi Sb Se
2 1 1 2
Direct
0.000 0.500 0.200
0.500 0.000 0.800
0.500 0.500 0.500
0.000 0.000 0.500
0.000 0.500 0.872
0.500 0.000 0.128
```

The crystal system is tetragonal. The calculation puts the total energy at -5.469 eV per atom. As for the space group: P-4m2.